Model w:
## CrOs2Br (PBE-GGA)

Data for crystalline CrOs2Br at its relaxed geometry.

Unit cell a=4.529 b=4.529 c=6.567 alpha=94.91 beta=94.91 gamma=37.40
Positions (direct):
Cr (0.000, 0.000, 0.000)
Os (0.287, 0.287, 0.802)
Os (0.548, 0.548, 0.687)
Br (0.600, 0.600, 0.295)

As for the size of the total moment: 2.16 μB/f.u.



Model x:
## CrOs2Br (PBE-GGA)

Data for crystalline CrOs2Br at its relaxed geometry.

Unit cell a=5.256 b=5.256 c=5.256 alpha=147.98 beta=129.64 gamma=60.94
Positions (direct):
Cr (0.000, 0.000, 0.000)
Os (0.276, 0.776, 0.500)
Os (0.531, 0.531, 0.000)
Br (0.775, 0.275, 0.500)

As for the size of the total moment: 1.21 μB/f.u.



Of them, the most stable is model w and the least stable is model x.



Model w:
## CrOs2Br (PBE-GGA)

Data for crystalline CrOs2Br at its relaxed geometry.

Unit cell a=4.478 b=4.478 c=3.002 alpha=90.00 beta=90.00 gamma=90.00
Positions (direct):
Cr (0.000, 0.000, 0.000)
Os (0.000, 0.500, 0.500)
Os (0.500, 0.000, 0.500)
Br (0.500, 0.500, 0.000)

As for the size of the total moment: 2.40 μB/f.u.



Model x:
## CrOs2Br (PBE-GGA)

Data for crystalline CrOs2Br at its relaxed geometry.

Unit cell a=2.682 b=2.682 c=11.712 alpha=90.00 beta=90.00 gamma=116.51
Positions (direct):
Cr (0.000, 0.000, 0.000)
Os (0.500, 0.500, 0.174)
Os (0.500, 0.500, 0.826)
Br (0.000, 0.000, 0.500)

As for the size of the total moment: 0.79 μB/f.u.



Of them, the most stable is model x and the least stable is model w.



Model w:
## CrOs2Br (PBE-GGA)

Data for crystalline CrOs2Br at its relaxed geometry.

Unit cell a=4.387 b=4.387 c=4.387 alpha=60.00 beta=60.00 gamma=60.00
Positions (direct):
Cr (0.000, 0.000, 0.000)
Os (0.500, 0.500, 0.500)
Os (0.750, 0.750, 0.750)
Br (0.250, 0.250, 0.250)

As for the size of the total moment: 0.00 μB/f.u.



Model x:
## CrOs2Br (PBE-GGA)

Data for crystalline CrOs2Br at its relaxed geometry.

Unit cell a=4.401 b=4.401 c=4.401 alpha=60.00 beta=60.00 gamma=60.00
Positions (direct):
Cr (0.000, 0.000, 0.000)
Os (0.250, 0.250, 0.250)
Os (0.750, 0.750, 0.750)
Br (0.500, 0.500, 0.500)

As for the size of the total moment: 1.45 μB/f.u.



Model y:
## CrOs2Br (PBE-GGA)

Data for crystalline CrOs2Br at its relaxed geometry.

Unit cell a=2.816 b=2.816 c=9.876 alpha=90.00 beta=90.00 gamma=119.37
Positions (direct):
Cr (0.000, 0.000, 0.000)
Os (0.000, 0.000, 0.563)
Os (0.500, 0.500, 0.784)
Br (0.500, 0.500, 0.211)

As for the size of the total moment: 2.21 μB/f.u.



Model z:
## CrOs2Br (PBE-GGA)

Data for crystalline CrOs2Br at its relaxed geometry.

Unit cell a=2.893 b=2.893 c=7.296 alpha=90.00 beta=90.00 gamma=90.00
Positions (direct):
Cr (0.000, 0.000, 0.000)
Os (0.500, 0.500, 0.211)
Os (0.500, 0.500, 0.789)
Br (0.000, 0.000, 0.500)

As for the size of the total moment: 0.00 μB/f.u.



Of them, the most stable is model z and the least stable is model x.



Model w:
## CrOs2Br (PBE-GGA)

Data for crystalline CrOs2Br at its relaxed geometry.

Unit cell a=2.942 b=4.782 c=4.474 alpha=90.00 beta=90.25 gamma=90.00
Positions (direct):
Cr (0.000, 0.000, 0.000)
Os (0.216, 0.500, 0.752)
Os (0.784, 0.500, 0.248)
Br (0.500, 0.000, 0.500)

As for the size of the total moment: 1.86 μB/f.u.



Model x:
## CrOs2Br (PBE-GGA)

Data for crystalline CrOs2Br at its relaxed geometry.

Unit cell a=2.864 b=2.864 c=7.639 alpha=90.00 beta=90.00 gamma=90.00
Positions (direct):
Cr (0.000, 0.000, 0.000)
Os (0.000, 0.000, 0.465)
Os (0.500, 0.500, 0.250)
Br (0.500, 0.500, 0.789)

As for the size of the total moment: 1.83 μB/f.u.



Model y:
## CrOs2Br (PBE-GGA)

Data for crystalline CrOs2Br at its relaxed geometry.

Unit cell a=5.500 b=5.500 c=4.264 alpha=98.00 beta=98.00 gamma=29.81
Positions (direct):
Cr (0.000, 0.000, 0.000)
Os (0.290, 0.290, 0.781)
Os (0.710, 0.710, 0.219)
Br (0.500, 0.500, 0.500)

As for the size of the total moment: 2.15 μB/f.u.



Model z:
## CrOs2Br (PBE-GGA)

Data for crystalline CrOs2Br at its relaxed geometry.

Unit cell a=6.605 b=6.605 c=6.605 alpha=129.97 beta=129.97 gamma=73.45
Positions (direct):
Cr (0.000, 0.000, 0.000)
Cr (0.750, 0.250, 0.500)
Os (0.092, 0.625, 0.967)
Os (0.375, 0.342, 0.467)
Os (0.658, 0.125, 0.033)
Os (0.875, 0.908, 0.533)
Br (0.250, 0.750, 0.500)
Br (0.500, 0.500, 0.000)

As for the size of the total moment: 0.00 μB/f.u.



Of them, the most stable is model x and the least stable is model z.



Model w:
## CrOs2Br (PBE-GGA)

Data for crystalline CrOs2Br at its relaxed geometry.

Unit cell a=4.702 b=4.702 c=4.702 alpha=129.57 beta=129.57 gamma=74.10
Positions (direct):
Cr (0.000, 0.000, 0.000)
Os (0.250, 0.750, 0.500)
Os (0.750, 0.250, 0.500)
Br (0.500, 0.500, 0.000)

As for the size of the total moment: 1.85 μB/f.u.



Model x:
## CrOs2Br (PBE-GGA)

Data for crystalline CrOs2Br at its relaxed geometry.

Unit cell a=10.482 b=10.482 c=10.482 alpha=15.07 beta=15.07 gamma=15.07
Positions (direct):
Cr (0.000, 0.000, 0.000)
Os (0.270, 0.270, 0.270)
Os (0.730, 0.730, 0.730)
Br (0.500, 0.500, 0.500)

As for the size of the total moment: 0.95 μB/f.u.



Of them, the most stable is model x and the least stable is model w.



Model w:
## CrOsBr (PBE-GGA)

Data for crystalline CrOsBr at its relaxed geometry.

Unit cell a=2.906 b=2.906 c=6.473 alpha=90.00 beta=90.00 gamma=120.00
Positions (direct):
Cr (0.000, 0.000, 0.000)
Os (0.667, 0.333, 0.289)
Br (0.333, 0.667, 0.711)

As for the size of the total moment: 0.00 μB/f.u.



Model x:
## CrOsBr (PBE-GGA)

Data for crystalline CrOsBr at its relaxed geometry.

Unit cell a=4.191 b=4.191 c=2.942 alpha=90.00 beta=90.00 gamma=120.00
Positions (direct):
Cr (0.000, 0.000, 0.000)
Os (0.333, 0.667, 0.502)
Br (0.667, 0.333, 0.825)

As for the size of the total moment: 0.82 μB/f.u.



Model y:
## CrOsBr (PBE-GGA)

Data for crystalline CrOsBr at its relaxed geometry.

Unit cell a=4.263 b=4.263 c=4.263 alpha=60.00 beta=60.00 gamma=60.00
Positions (direct):
Cr (0.000, 0.000, 0.000)
Os (0.750, 0.750, 0.750)
Br (0.500, 0.500, 0.500)

As for the size of the total moment: 2.42 μB/f.u.



Of them, the most stable is model w and the least stable is model x.



Model w:
## CrP2Br (PBE-GGA)

Data for crystalline CrP2Br at its relaxed geometry.

Unit cell a=3.947 b=3.947 c=8.492 alpha=105.02 beta=105.02 gamma=40.90
Positions (direct):
Cr (0.000, 0.000, 0.000)
P (0.328, 0.328, 0.121)
P (0.672, 0.672, 0.879)
Br (0.500, 0.500, 0.500)

As for the size of the total moment: 0.00 μB/f.u.



Model x:
## CrP2Br (PBE-GGA)

Data for crystalline CrP2Br at its relaxed geometry.

Unit cell a=2.940 b=2.940 c=8.616 alpha=90.00 beta=90.00 gamma=90.00
Positions (direct):
Cr (0.000, 0.000, 0.000)
P (0.500, 0.500, 0.143)
P (0.500, 0.500, 0.857)
Br (0.000, 0.000, 0.500)

As for the size of the total moment: 0.02 μB/f.u.



Of them, the most stable is model w and the least stable is model x.



Model w:
## CrPSeBr2 (PBE-GGA)

Data for crystalline CrPSeBr2 at its relaxed geometry.

Unit cell a=5.016 b=5.016 c=5.077 alpha=90.00 beta=90.00 gamma=90.00
Positions (direct):
Cr (0.000, 0.000, 0.000)
P (0.500, 0.500, 0.500)
Se (0.500, 0.500, 0.000)
Br (0.000, 0.500, 0.500)
Br (0.500, 0.000, 0.500)

As for the size of the total moment: 4.75 μB/f.u.



Model x:
## CrPSeBr2 (PBE-GGA)

Data for crystalline CrPSeBr2 at its relaxed geometry.

Unit cell a=4.897 b=4.897 c=4.714 alpha=90.00 beta=90.00 gamma=90.00
Positions (direct):
Cr (0.000, 0.000, 0.000)
P (0.500, 0.500, 0.500)
Se (0.000, 0.000, 0.500)
Br (0.000, 0.500, 0.000)
Br (0.500, 0.000, 0.000)

As for the size of the total moment: 0.29 μB/f.u.



Of them, the most stable is model w and the least stable is model x.